First-principles (GGA-PBE) data for an optimized crystal structure of NaCaTl2I5, as listed in Alexandria via LeMat-Bulk.

Geometry as POSCAR:
```
NaCaTl2I5
1.0
-1.9443 2.1078 3.7040
-4.7606 -9.2210 -0.2135
11.5008 -6.1586 9.5414
I Tl Ca Na
10 4 2 2
direct
0.7067 0.4135 0.9011
0.6184 0.2368 0.4932
0.5022 0.0044 0.2738
0.9236 0.8473 0.5674
0.2933 0.5865 0.4011
0.0764 0.1527 0.0674
0.2593 0.5186 0.6652
0.3816 0.7632 0.9932
0.4978 0.9956 0.7738
0.7407 0.4814 0.1652
0.0844 0.1688 0.6515
0.1280 0.2561 0.2919
0.9156 0.8312 0.1515
0.8720 0.7439 0.7919
0.7706 0.5413 0.5298
0.2294 0.4587 0.0298
0.5497 0.0994 0.9499
0.4503 0.9006 0.4499
```

- space-group type = Cmc2_1 (36)
- formation energy without anion corrections (eV per atom) = -1.093
- magnetic moment (μB per cell) = 0.0
- electronic total energy (eV per atom) = -2.849